1.
Compound: Th8Tc3PtSe4
Source: Alexandria
Functional: GGA-PBE
Structure: relaxed Values from VASP.

Properties
The value obtained for the formation energy (no corrections) is -0.953 eV/atom. Its total magnetization is 0.00 μB per cell. Its raw total energy is -7.855 eV per atom. For the mass density, the calculation gives 10.16 g/cm³.

Cell and atoms, written as Quantum ESPRESSO input:
```
&SYSTEM
  ibrav = 0, nat = 16, ntyp = 4
/
ATOMIC_SPECIES
Th 232.04 Th.upf
Tc 98.00 Tc.upf
Pt 195.08 Pt.upf
Se 78.96 Se.upf
CELL_PARAMETERS angstrom
8.2555 0.0000 0.0000
0.0000 8.7700 0.3517
-4.1277 -4.1199 5.8422
ATOMIC_POSITIONS angstrom
Th -1.9998 2.2672 5.9276
Th 0.0000 4.2628 3.0973
Th 0.0000 0.3252 3.1434
Th 1.9998 2.2672 5.9276
Th 2.1279 2.3829 0.2663
Th 4.1277 4.3248 3.0505
Th 4.1277 0.3873 3.0966
Th 6.1275 2.3829 0.2663
Tc 4.1277 4.3850 0.1759
Tc 2.0639 2.3250 3.0969
Tc -2.0639 2.3250 3.0969
Pt 0.0000 4.3850 0.1759
Se 4.1277 0.0000 0.0000
Se 2.0639 -2.0599 2.9211
Se 0.0000 0.0000 0.0000
Se -2.0639 -2.0599 2.9211
```



2.
Compound: Th6Tc2PtSe3
Source: Alexandria
Functional: GGA-PBE
Structure: relaxed Values from VASP.

Properties
The value obtained for the formation energy (no corrections) is -1.019 eV/atom. Its total magnetization is 0.00 μB per cell. Its raw total energy is -7.831 eV per atom. For the mass density, the calculation gives 10.26 g/cm³.

Cell and atoms, written as Quantum ESPRESSO input:
```
&SYSTEM
  ibrav = 0, nat = 12, ntyp = 4
/
ATOMIC_SPECIES
Th 232.04 Th.upf
Tc 98.00 Tc.upf
Pt 195.08 Pt.upf
Se 78.96 Se.upf
CELL_PARAMETERS angstrom
-0.4622 1.0461 -7.0561
-0.7538 -6.5787 2.6923
-6.8760 2.9354 2.0903
ATOMIC_POSITIONS angstrom
Th -6.2589 -0.5608 -3.3403
Th -2.3715 -3.3844 -2.7181
Th -1.8331 -2.0365 1.0668
Th -6.3596 -3.1938 0.0262
Th -5.7205 0.7871 0.4446
Th -1.7324 0.5966 -2.2997
Tc -0.6565 -4.0362 -0.5583
Tc -0.5594 -1.4964 -3.8055
Pt 0.0000 0.0000 0.0000
Se -4.1434 -3.8453 2.1193
Se -3.9486 1.2481 -4.3927
Se -4.0460 -1.2986 -1.1367
```



3.
Compound: YTcPtSe2
Source: Alexandria
Functional: GGA-PBE
Structure: relaxed Values from VASP.

Properties
The value obtained for the formation energy (no corrections) is 0.263 eV/atom. Its total magnetization is 1.34 μB per cell. Its raw total energy is -5.705 eV per atom. For the mass density, the calculation gives 7.45 g/cm³.

Cell and atoms, written as Quantum ESPRESSO input:
```
&SYSTEM
  ibrav = 0, nat = 5, ntyp = 4
/
ATOMIC_SPECIES
Y 88.91 Y.upf
Se 78.96 Se.upf
Tc 98.00 Tc.upf
Pt 195.08 Pt.upf
CELL_PARAMETERS angstrom
5.0169 0.0000 0.0000
0.0000 4.7822 0.0000
0.0000 0.0000 5.0169
ATOMIC_POSITIONS angstrom
Y 2.5084 2.3911 2.5084
Se 0.0000 0.0000 2.5084
Se 2.5084 0.0000 0.0000
Tc 0.0000 2.3911 0.0000
Pt 0.0000 0.0000 0.0000
```



4.
Compound: ZnTcPtSe2
Source: Alexandria
Functional: GGA-PBE
Structure: relaxed Values from VASP.

Properties
The value obtained for the formation energy (no corrections) is 0.956 eV/atom. Its total magnetization is 3.80 μB per cell. Its raw total energy is -3.974 eV per atom. For the mass density, the calculation gives 6.86 g/cm³.

Cell and atoms, written as Quantum ESPRESSO input:
```
&SYSTEM
  ibrav = 0, nat = 5, ntyp = 4
/
ATOMIC_SPECIES
Zn 65.41 Zn.upf
Se 78.96 Se.upf
Tc 98.00 Tc.upf
Pt 195.08 Pt.upf
CELL_PARAMETERS angstrom
-3.5256 2.6092 2.1914
-3.3051 -3.9694 -0.5911
1.3764 -1.7940 4.3505
ATOMIC_POSITIONS angstrom
Zn -2.7271 -1.5771 2.9754
Se 0.6882 -0.8970 2.1753
Se -1.7628 1.3046 1.0957
Tc -1.6525 -1.9847 -0.2956
Pt 0.0000 0.0000 0.0000
```



5.
Compound: TePtSe4
Source: Alexandria
Functional: GGA-PBE
Structure: relaxed Values from VASP.

Properties
The calculation puts the polymorph energy (0 for the lowest one) at 0.0 kJ/mol of atoms. The value obtained for the formation energy (no corrections) is -0.156 eV/atom. Its total magnetization is 0.00 μB per cell. Its raw total energy is -4.009 eV per atom. For the mass density, the calculation gives 6.43 g/cm³.

Cell and atoms, written as Quantum ESPRESSO input:
```
&SYSTEM
  ibrav = 0, nat = 6, ntyp = 3
/
ATOMIC_SPECIES
Te 127.60 Te.upf
Pt 195.08 Pt.upf
Se 78.96 Se.upf
CELL_PARAMETERS angstrom
-1.9291 3.1432 1.1068
-3.0612 -3.5416 4.7225
7.3179 1.7566 1.0679
ATOMIC_POSITIONS angstrom
Te 0.0000 0.0000 0.0000
Pt -2.4951 -0.1992 2.9146
Se 3.2158 3.2806 2.9861
Se -0.8882 -1.9223 3.9111
Se 2.7389 0.1356 4.3884
Se -0.4112 1.2226 2.5088
```



6.
Compound: Te2PtSe
Source: Alexandria
Functional: GGA-PBE
Structure: relaxed Values from VASP.

Properties
The value obtained for the formation energy (no corrections) is 0.241 eV/atom. Its total magnetization is 0.00 μB per cell. Its raw total energy is -3.711 eV per atom. For the mass density, the calculation gives 8.64 g/cm³.

Cell and atoms, written as Quantum ESPRESSO input:
```
&SYSTEM
  ibrav = 0, nat = 4, ntyp = 3
/
ATOMIC_SPECIES
Pt 195.08 Pt.upf
Se 78.96 Se.upf
Te 127.60 Te.upf
CELL_PARAMETERS angstrom
-0.5876 2.9756 0.7485
-1.4640 0.3979 -2.7310
-9.0003 -2.8853 4.4042
ATOMIC_POSITIONS angstrom
Pt -4.6265 -1.4832 2.2639
Se -7.0547 -0.2460 1.9589
Te -8.9424 -2.8667 4.3759
Te -3.9288 0.7561 0.4293
```



7.
Compound: TePt4Se
Source: Alexandria
Functional: GGA-PBE
Structure: relaxed Values from VASP.

Properties
The value obtained for the formation energy (no corrections) is 0.341 eV/atom. Its total magnetization is 0.00 μB per cell. Its raw total energy is -4.791 eV per atom. For the mass density, the calculation gives 14.72 g/cm³.

Cell and atoms, written as Quantum ESPRESSO input:
```
&SYSTEM
  ibrav = 0, nat = 6, ntyp = 3
/
ATOMIC_SPECIES
Te 127.60 Te.upf
Pt 195.08 Pt.upf
Se 78.96 Se.upf
CELL_PARAMETERS angstrom
0.0000 3.8180 3.8180
3.8180 0.0000 3.8180
3.8180 3.8180 0.0000
ATOMIC_POSITIONS angstrom
Te 0.0000 0.0000 0.0000
Pt 2.8619 4.7742 4.7742
Pt 4.7742 4.7742 2.8619
Pt 4.7742 2.8619 4.7742
Pt 2.8619 2.8619 2.8619
Se 5.7270 5.7270 5.7270
```



8.
Compound: Te2PtSe
Source: Alexandria
Functional: GGA-PBE
Structure: relaxed Values from VASP.

Properties
The value obtained for the formation energy (no corrections) is 0.034 eV/atom. Its total magnetization is 0.00 μB per cell. Its raw total energy is -3.918 eV per atom. For the mass density, the calculation gives 8.01 g/cm³.

Cell and atoms, written as Quantum ESPRESSO input:
```
&SYSTEM
  ibrav = 0, nat = 8, ntyp = 3
/
ATOMIC_SPECIES
Te 127.60 Te.upf
Se 78.96 Se.upf
Pt 195.08 Pt.upf
CELL_PARAMETERS angstrom
-4.2427 4.8140 -3.3872
-5.5267 -1.8209 4.3346
-3.7211 4.4341 3.1913
ATOMIC_POSITIONS angstrom
Te -4.4184 4.0549 -0.8936
Te -4.7692 0.4070 3.1998
Te -6.2647 4.5105 2.6000
Te -11.5287 5.8821 3.3712
Se -4.8847 1.4966 0.4737
Se -7.0662 2.0549 3.9998
Pt 0.0000 0.0000 0.0000
Pt -6.4243 5.3723 0.1389
```



9.
Compound: TePt2Se2
Source: Alexandria
Functional: GGA-PBE
Structure: relaxed Values from VASP.

Properties
The calculation puts the polymorph energy (0 for the lowest one) at 0.0 kJ/mol of atoms. The value obtained for the formation energy (no corrections) is 0.183 eV/atom. Its total magnetization is 0.00 μB per cell. Its raw total energy is -4.255 eV per atom. For the mass density, the calculation gives 11.57 g/cm³.

Cell and atoms, written as Quantum ESPRESSO input:
```
&SYSTEM
  ibrav = 0, nat = 10, ntyp = 3
/
ATOMIC_SPECIES
Te 127.60 Te.upf
Se 78.96 Se.upf
Pt 195.08 Pt.upf
CELL_PARAMETERS angstrom
7.5003 0.0000 0.0000
0.0000 7.5003 0.0000
0.0000 0.0000 3.4492
ATOMIC_POSITIONS angstrom
Te 0.0000 0.0000 0.0000
Te 3.7501 3.7501 0.0000
Se 1.1919 4.9420 1.7246
Se 4.9420 6.3084 1.7246
Se 6.3084 2.5582 1.7246
Se 2.5582 1.1919 1.7246
Pt 2.7120 6.4622 0.0000
Pt 6.4622 4.7882 0.0000
Pt 4.7882 1.0381 0.0000
Pt 1.0381 2.7120 0.0000
```



10.
Compound: Te2PtSe
Source: Alexandria
Functional: GGA-PBE
Structure: relaxed Values from VASP.

Properties
The value obtained for the formation energy (no corrections) is 0.295 eV/atom. Its total magnetization is 0.00 μB per cell. Its raw total energy is -3.657 eV per atom. For the mass density, the calculation gives 7.15 g/cm³.

Cell and atoms, written as Quantum ESPRESSO input:
```
&SYSTEM
  ibrav = 0, nat = 4, ntyp = 3
/
ATOMIC_SPECIES
Pt 195.08 Pt.upf
Se 78.96 Se.upf
Te 127.60 Te.upf
CELL_PARAMETERS angstrom
-2.9976 0.2615 -2.3442
-5.0641 -0.4562 6.4248
0.0769 3.9182 0.3388
ATOMIC_POSITIONS angstrom
Pt -1.4604 2.0899 -1.0027
Se -2.4936 1.7310 3.3818
Te 0.0000 0.0000 0.0000
Te -4.0308 -0.0973 2.0403
```



11.
Compound: Te2PtSe
Source: Alexandria
Functional: GGA-PBE
Structure: relaxed Values from VASP.

Properties
The value obtained for the formation energy (no corrections) is -0.179 eV/atom. Its total magnetization is 0.00 μB per cell. Its raw total energy is -4.132 eV per atom. For the mass density, the calculation gives 9.13 g/cm³.

Cell and atoms, written as Quantum ESPRESSO input:
```
&SYSTEM
  ibrav = 0, nat = 4, ntyp = 3
/
ATOMIC_SPECIES
Pt 195.08 Pt.upf
Se 78.96 Se.upf
Te 127.60 Te.upf
CELL_PARAMETERS angstrom
-3.6745 -0.6130 -1.2703
1.3506 -4.7109 -1.6334
-0.6200 -3.6817 3.5700
ATOMIC_POSITIONS angstrom
Pt 0.3685 -4.2337 0.9771
Se -1.3256 -6.1848 0.7215
Te 0.0016 -0.0184 0.0043
Te -1.6231 -2.7650 -0.0682
```



12.
Compound: Te2PtSe
Source: Alexandria
Functional: GGA-PBE
Structure: relaxed Values from VASP.

Properties
The value obtained for the formation energy (no corrections) is 0.277 eV/atom. Its total magnetization is 0.00 μB per cell. Its raw total energy is -3.675 eV per atom. For the mass density, the calculation gives 9.85 g/cm³.

Cell and atoms, written as Quantum ESPRESSO input:
```
&SYSTEM
  ibrav = 0, nat = 4, ntyp = 3
/
ATOMIC_SPECIES
Pt 195.08 Pt.upf
Se 78.96 Se.upf
Te 127.60 Te.upf
CELL_PARAMETERS angstrom
3.4397 0.0000 0.0000
0.0000 3.4397 0.0000
0.0000 0.0000 7.5442
ATOMIC_POSITIONS angstrom
Pt 1.7198 1.7198 1.8860
Se 1.7198 1.7198 5.6581
Te 0.0000 0.0000 0.1776
Te 0.0000 0.0000 3.5945
```



13.
Compound: Te2PtSe
Source: Alexandria
Functional: GGA-PBE
Structure: relaxed Values from VASP.

Properties
The value obtained for the formation energy (no corrections) is 0.052 eV/atom. Its total magnetization is 0.00 μB per cell. Its raw total energy is -3.901 eV per atom. For the mass density, the calculation gives 8.67 g/cm³.

Cell and atoms, written as Quantum ESPRESSO input:
```
&SYSTEM
  ibrav = 0, nat = 4, ntyp = 3
/
ATOMIC_SPECIES
Pt 195.08 Pt.upf
Se 78.96 Se.upf
Te 127.60 Te.upf
CELL_PARAMETERS angstrom
-5.1596 -3.0661 -2.6665
-5.0641 -2.6363 3.2462
3.6780 5.3515 -0.9831
ATOMIC_POSITIONS angstrom
Pt -3.2968 -0.2829 -1.6798
Se -3.2490 -0.0680 1.2765
Te -9.3685 -5.2254 0.5312
Te -5.9672 -3.3283 0.3384
```



14.
Compound: Te2PtSe2
Source: Alexandria
Functional: GGA-PBE
Structure: relaxed Values from VASP.

Properties
The value obtained for the formation energy (no corrections) is -0.162 eV/atom. Its total magnetization is 0.00 μB per cell. Its raw total energy is -4.021 eV per atom. For the mass density, the calculation gives 6.79 g/cm³.

Cell and atoms, written as Quantum ESPRESSO input:
```
&SYSTEM
  ibrav = 0, nat = 5, ntyp = 3
/
ATOMIC_SPECIES
Te 127.60 Te.upf
Pt 195.08 Pt.upf
Se 78.96 Se.upf
CELL_PARAMETERS angstrom
3.8861 0.0000 -1.3211
-0.3251 7.0376 -0.9563
-0.2904 0.0871 5.5223
ATOMIC_POSITIONS angstrom
Te 1.0331 5.5875 3.0392
Te 2.2376 1.5372 0.2058
Pt 0.0000 0.0000 0.0000
Se 3.0456 1.9695 2.5829
Se 0.2251 5.1553 0.6621
```